A) Entry from the Alexandria database: a relaxed KZnF2 crystal (PBE).

Summary:
V   15.92 A^3/atom
SG   No. 225

abc: 4.482 4.482 4.482
angles: 60.00 60.00 60.00
Element x y z (fractional)
Zn 0.500 0.500 0.500
K 0.000 0.000 0.000
F 0.250 0.250 0.250
F 0.750 0.750 0.750

B) Entry from the Alexandria database: a relaxed KZnF2 crystal (PBE).

Summary:
V   19.45 A^3/atom
SG   No. 166

abc: 7.285 7.285 7.285
angles: 28.50 28.50 28.50
Element x y z (fractional)
Zn 0.500 0.500 0.500
K 0.000 0.000 0.000
F 0.880 0.880 0.880
F 0.120 0.120 0.120

C) Entry from the Alexandria database: a relaxed KZnF2 crystal (PBE).

Summary:
V   20.80 A^3/atom
SG   No. 122

abc: 5.750 5.750 6.470
angles: 63.62 63.62 90.00
Element x y z (fractional)
Zn 0.000 0.000 0.000
Zn 0.750 0.250 0.500
K 0.500 0.500 0.000
K 0.250 0.750 0.500
F 0.694 0.125 0.250
F 0.056 0.625 0.250
F 0.375 0.306 0.750
F 0.875 0.944 0.750

D) Entry from the Alexandria database: a relaxed KZnF2 crystal (PBE).

Summary:
V   20.70 A^3/atom
SG   No. 166

abc: 7.291 7.291 7.291
angles: 29.43 29.43 29.43
Element x y z (fractional)
Zn 0.000 0.000 0.000
K 0.500 0.500 0.500
F 0.906 0.906 0.906
F 0.094 0.094 0.094

Stability, lowest: A)

A) Entry from the Alexandria database: a relaxed K2Zn3F8 crystal (PBE).

Summary:
V   16.00 A^3/atom
SG   No. 12

abc: 5.461 6.456 7.043
angles: 117.28 107.25 90.00
Element x y z (fractional)
K 0.330 0.277 0.554
K 0.670 0.723 0.446
Zn 0.500 0.000 0.000
Zn 0.000 0.260 0.000
Zn 0.000 0.740 0.000
F 0.972 0.602 0.205
F 0.028 0.398 0.795
F 0.904 0.092 0.184
F 0.096 0.908 0.816
F 0.618 0.691 0.816
F 0.618 0.125 0.816
F 0.382 0.875 0.184
F 0.382 0.309 0.184

B) Entry from the Alexandria database: a relaxed K2Zn3F8 crystal (PBE).

Summary:
V   15.64 A^3/atom
SG   No. 123

abc: 4.029 4.029 12.530
angles: 90.00 90.00 90.00
Element x y z (fractional)
K 0.000 0.000 0.173
K 0.000 0.000 0.827
Zn 0.500 0.500 0.332
Zn 0.500 0.500 0.000
Zn 0.500 0.500 0.668
F 0.500 0.000 0.340
F 0.000 0.500 0.340
F 0.000 0.500 0.000
F 0.500 0.500 0.168
F 0.500 0.000 0.660
F 0.000 0.500 0.660
F 0.500 0.500 0.832
F 0.500 0.000 0.000

Stability, lowest: B)

A) Entry from the Alexandria database: a relaxed KZn2F crystal (PBE).

Summary:
V   26.36 A^3/atom
SG   No. 225

abc: 5.303 5.303 5.303
angles: 60.00 60.00 60.00
Element x y z (fractional)
Zn 0.250 0.250 0.250
Zn 0.750 0.750 0.750
K 0.500 0.500 0.500
F 0.000 0.000 0.000

B) Entry from the Alexandria database: a relaxed KZn2F crystal (PBE).

Summary:
V   24.32 A^3/atom
SG   No. 122

abc: 8.837 8.837 6.727
angles: 48.94 48.94 90.00
Element x y z (fractional)
Zn 0.586 0.125 0.250
Zn 0.164 0.625 0.250
Zn 0.375 0.414 0.750
Zn 0.875 0.836 0.750
K 0.000 0.000 0.000
K 0.750 0.250 0.500
F 0.500 0.500 0.000
F 0.250 0.750 0.500

Stability, lowest: A)

A) Entry from the Alexandria database: a relaxed K2Zn2F5 crystal (PBE).

Summary:
V   15.10 A^3/atom
SG   No. 123

abc: 4.282 4.282 7.412
angles: 90.00 90.00 90.00
Element x y z (fractional)
K 0.037 0.037 0.000
K 0.037 0.037 0.500
Zn 0.537 0.537 0.223
Zn 0.537 0.537 0.777
F 0.037 0.537 0.773
F 0.537 0.037 0.227
F 0.537 0.037 0.773
F 0.037 0.537 0.227
F 0.537 0.537 0.500

B) Entry from the Alexandria database: a relaxed K2Zn2F5 crystal (PBE).

Summary:
V   17.21 A^3/atom
SG   No. 12

abc: 4.366 6.325 6.363
angles: 108.79 90.00 110.19
Element x y z (fractional)
K 0.392 0.785 0.673
K 0.608 0.215 0.327
Zn 0.151 0.301 0.890
Zn 0.849 0.699 0.110
F 0.346 0.691 0.079
F 0.654 0.309 0.921
F 0.149 0.299 0.578
F 0.851 0.701 0.422
F 0.000 0.000 0.000

Stability, lowest: B)

A) Entry from the Alexandria database: a relaxed K2ZnF4 crystal (PBE).

Summary:
V   16.20 A^3/atom
SG   No. 139

abc: 4.137 4.137 7.242
angles: 73.40 73.40 90.00
Element x y z (fractional)
Zn 0.000 0.000 0.000
K 0.354 0.354 0.291
K 0.646 0.646 0.709
F 0.155 0.155 0.690
F 0.845 0.845 0.310
F 0.000 0.500 0.000
F 0.500 0.000 0.000

B) Entry from the Alexandria database: a relaxed K2ZnF4 crystal (PBE).

Summary:
V   19.00 A^3/atom
SG   No. 11

abc: 5.917 6.289 8.128
angles: 90.00 118.46 90.00
Element x y z (fractional)
K 0.702 0.750 0.007
K 0.298 0.250 0.993
K 0.995 0.250 0.396
K 0.005 0.750 0.604
Zn 0.358 0.750 0.233
Zn 0.642 0.250 0.767
F 0.594 0.519 0.273
F 0.131 0.750 0.961
F 0.869 0.250 0.039
F 0.594 0.981 0.273
F 0.871 0.250 0.666
F 0.406 0.019 0.727
F 0.406 0.481 0.727
F 0.129 0.750 0.334

Stability, lowest: B)

A) Entry from the Alexandria database: a relaxed KZn3F crystal (PBE).

Summary:
V   26.57 A^3/atom
SG   No. 221

abc: 5.103 5.103 5.103
angles: 90.00 90.00 90.00
Element x y z (fractional)
Zn 0.000 0.500 0.000
Zn 0.000 0.000 0.500
Zn 0.500 0.000 0.000
K 0.500 0.500 0.500
F 0.000 0.000 0.000

B) Entry from the Alexandria database: a relaxed KZn3F crystal (PBE).

Summary:
V   55.09 A^3/atom
SG   No. 221

abc: 6.506 6.506 6.506
angles: 90.00 90.00 90.00
Element x y z (fractional)
Zn 0.000 0.500 0.000
Zn 0.000 0.000 0.500
Zn 0.500 0.000 0.000
K 0.000 0.000 0.000
F 0.500 0.500 0.500

Stability, lowest: B)

A) Entry from the Alexandria database: a relaxed KZr3F crystal (PBE).

Summary:
V   22.25 A^3/atom
SG   No. 221

abc: 4.809 4.809 4.809
angles: 90.00 90.00 90.00
Element x y z (fractional)
K 0.500 0.500 0.500
Zr 0.000 0.500 0.000
Zr 0.000 0.000 0.500
Zr 0.500 0.000 0.000
F 0.000 0.000 0.000

B) Entry from the Alexandria database: a relaxed KZr3F crystal (PBE).

Summary:
V   25.42 A^3/atom
SG   No. 221

abc: 5.028 5.028 5.028
angles: 90.00 90.00 90.00
Element x y z (fractional)
K 0.000 0.000 0.000
Zr 0.000 0.500 0.000
Zr 0.000 0.000 0.500
Zr 0.500 0.000 0.000
F 0.500 0.500 0.500

Stability, lowest: B)

A) Entry from the Alexandria database: a relaxed KZrF3 crystal (PBE).

Summary:
V   18.02 A^3/atom
SG   No. 221

abc: 4.483 4.483 4.483
angles: 90.00 90.00 90.00
Element x y z (fractional)
K 0.500 0.500 0.500
Zr 0.000 0.000 0.000
F 0.000 0.500 0.000
F 0.000 0.000 0.500
F 0.500 0.000 0.000

B) Entry from the Alexandria database: a relaxed KZrF3 crystal (PBE).

Summary:
V   19.45 A^3/atom
SG   No. 221

abc: 4.598 4.598 4.598
angles: 90.00 90.00 90.00
Element x y z (fractional)
K 0.000 0.000 0.000
Zr 0.500 0.500 0.500
F 0.000 0.500 0.000
F 0.000 0.000 0.500
F 0.500 0.000 0.000

Stability, lowest: B)